No. 1
# ZnSb3O

An optimized crystal structure of ZnSb3O (PBE-GGA, the Alexandria database).

Cell lengths 5.1412, 5.1412, 5.1412 Å; angles 90.00, 90.00, 90.00 degrees
Sites, in units of the cell vectors:
O 0.5000 0.5000 0.5000
Sb 0.0000 0.5000 0.0000
Sb 0.0000 0.0000 0.5000
Zn 0.0000 0.0000 0.0000
Sb 0.5000 0.0000 0.0000

## Properties
Space-group type: Pm-3m, No. 221
ΔE_f (raw), kJ per mole of atoms: 95
ΔE to the lowest computed polymorph, meV per atom: 870
Crystal system: cubic

No. 2
# Nd2YHoP4

An optimized crystal structure of Nd2YHoP4 (PBE-GGA, the Alexandria database).

Cell lengths 4.0875, 7.0761, 7.0706 Å; angles 109.48, 90.00, 90.00 degrees
Sites, in units of the cell vectors:
Nd 0.0000 0.5000 0.5000
P 0.0000 0.2543 0.7602
P 0.0000 0.7457 0.2398
Ho 0.5000 0.5000 0.0000
Y 0.0000 0.0000 0.0000
P 0.5000 0.7523 0.7596
P 0.5000 0.2477 0.2404
Nd 0.5000 0.0000 0.5000

## Properties
Space-group type: P2/m, No. 10
Crystal system: monoclinic
ΔH_f (0 K), eV/atom: -1.573

No. 3
# Cs2RbNaAs

An optimized crystal structure of Cs2RbNaAs (PBE-GGA, the Alexandria database).

Cell lengths 6.9604, 6.9604, 6.8913 Å; angles 90.00, 90.00, 90.00 degrees
Sites, in units of the cell vectors:
Cs 0.5000 0.0000 0.0000
Cs 0.0000 0.5000 0.0000
Rb 0.0000 0.0000 0.5000
Na 0.5000 0.5000 0.5000
As 0.0000 0.0000 0.0000

## Properties
Space-group type: P4/mmm, No. 123
ΔE to the lowest computed polymorph, meV per atom: 49
Crystal system: tetragonal
ΔH_f (0 K), eV/atom: -0.060

No. 4
# Ca8Hg2Pd

An optimized crystal structure of Ca8Hg2Pd (PBE-GGA, the Alexandria database).

Cell lengths 4.9951, 9.2227, 9.1582 Å; angles 120.23, 105.83, 90.00 degrees
Sites, in units of the cell vectors:
Pd 0.5000 0.0000 0.0000
Ca 0.3369 0.1173 0.6738
Ca 0.3369 0.5566 0.6738
Ca 0.6631 0.8827 0.3262
Hg 0.8063 0.3063 0.6125
Ca 0.1237 0.1237 0.2474
Ca 0.0000 0.3218 0.0000
Hg 0.1937 0.6937 0.3875
Ca 0.6631 0.4434 0.3262
Ca 0.0000 0.6782 0.0000
Ca 0.8763 0.8763 0.7526

## Properties
Space-group type: Immm, No. 71
ΔE to the lowest computed polymorph, meV per atom: 84
Crystal system: orthorhombic
ΔH_f (0 K), eV/atom: -0.257

No. 5
# Rb2InGaIr

An optimized crystal structure of Rb2InGaIr (PBE-GGA, the Alexandria database).

Cell lengths 6.4225, 4.7378, 6.4225 Å; angles 90.00, 90.00, 90.00 degrees
Sites, in units of the cell vectors:
In 0.5000 0.5000 0.5000
Rb 0.0000 0.0000 0.5000
Ga 0.0000 0.0000 0.0000
Ir 0.0000 0.5000 0.0000
Rb 0.5000 0.0000 0.0000

## Properties
Space-group type: P4/mmm, No. 123
Crystal system: tetragonal
ΔH_f (0 K), eV/atom: 0.499

No. 6
# TiBeSn2W

An optimized crystal structure of TiBeSn2W (PBE-GGA, the Alexandria database).

Cell lengths 5.0761, 4.1864, 5.0761 Å; angles 90.00, 90.00, 90.00 degrees
Sites, in units of the cell vectors:
Be 0.0000 0.5000 0.0000
Sn 0.5000 0.0000 0.0000
W 0.5000 0.5000 0.5000
Sn 0.0000 0.0000 0.5000
Ti 0.0000 0.0000 0.0000

## Properties
Space-group type: P4/mmm, No. 123
Crystal system: tetragonal
ΔH_f (0 K), eV/atom: 1.617

No. 7
# AcYSbPd

An optimized crystal structure of AcYSbPd (PBE-GGA, the Alexandria database).

Cell lengths 5.4051, 5.4051, 5.4051 Å; angles 60.00, 60.00, 60.00 degrees
Sites, in units of the cell vectors:
Y 0.7500 0.7500 0.7500
Pd 0.5000 0.5000 0.5000
Sb 0.0000 0.0000 0.0000
Ac 0.2500 0.2500 0.2500

## Properties
Space-group type: F-43m, No. 216
ΔE_f (raw), kJ per mole of atoms: -69
Crystal system: cubic

No. 8
# Pr6Ge2RhBr3

An optimized crystal structure of Pr6Ge2RhBr3 (PBE-GGA, the Alexandria database).

Cell lengths 4.2478, 9.0761, 9.8303 Å; angles 104.55, 102.48, 90.00 degrees
Sites, in units of the cell vectors:
Pr 0.3480 0.8960 0.6959
Pr 0.3254 0.4323 0.6509
Pr 0.6520 0.1040 0.3041
Pr 0.6746 0.5677 0.3491
Br 0.1736 0.8372 0.3473
Ge 0.1649 0.3387 0.3299
Br 0.8264 0.1628 0.6527
Br 0.5000 0.5000 0.0000
Rh 0.5000 0.0000 0.0000
Pr 0.0059 0.2205 0.0118
Pr 0.9941 0.7795 0.9882
Ge 0.8351 0.6613 0.6701

## Properties
Space-group type: C2/m, No. 12
ΔE_f (raw), kJ per mole of atoms: -105
Crystal system: monoclinic

No. 9
# Rb3Ac3CeS8

An optimized crystal structure of Rb3Ac3CeS8 (PBE-GGA, the Alexandria database).

Cell lengths 8.7754, 8.7757, 9.2925 Å; angles 118.20, 90.00, 120.00 degrees
Sites, in units of the cell vectors:
S 0.2655 0.5310 0.2966
S 0.7345 0.4690 0.7034
Rb 0.5000 0.5000 0.0000
Ac 0.0000 0.5000 0.5000
Ce 0.0000 0.0000 0.5000
Ac 0.5000 0.5000 0.5000
Rb 0.0000 0.0000 0.0000
Ac 0.5000 0.0000 0.5000
Rb 0.0000 0.5000 0.0000
S 0.2176 0.4353 0.6881
S 0.7531 0.9707 0.6881
S 0.2176 0.9707 0.6881
S 0.7824 0.0293 0.3119
S 0.7824 0.5647 0.3119
S 0.2469 0.0293 0.3119

## Properties
Space-group type: R-3m, No. 166
ΔE_f (raw), kJ per mole of atoms: -179
Crystal system: trigonal

No. 10
# PrSmDy6Er2

An optimized crystal structure of PrSmDy6Er2 (PBE-GGA, the Alexandria database).

Cell lengths 9.4986, 8.7918, 8.7918 Å; angles 117.14, 93.30, 93.30 degrees
Sites, in units of the cell vectors:
Pr 0.7500 0.0304 0.9696
Er 0.5487 0.1983 0.3020
Er 0.9513 0.6980 0.8017
Dy 0.6806 0.0178 0.5625
Dy 0.0572 0.1182 0.7535
Dy 0.8831 0.2929 0.5142
Dy 0.6169 0.4858 0.7071
Pr 0.2500 0.9696 0.0304
Dy 0.5572 0.7535 0.1182
Er 0.0487 0.3020 0.1983
Dy 0.3194 0.9822 0.4375
Dy 0.1806 0.5625 0.0178
Dy 0.9428 0.8818 0.2465
Sm 0.7500 0.5909 0.4091
Dy 0.1169 0.7071 0.4858
Er 0.4513 0.8017 0.6980
Dy 0.4428 0.2465 0.8818
Dy 0.3831 0.5142 0.2929
Dy 0.8194 0.4375 0.9822
Sm 0.2500 0.4091 0.5909

## Properties
Space-group type: C2/c, No. 15
Crystal system: monoclinic
ΔH_f (0 K), eV/atom: 0.122

No. 11
# MgCrTc4

An optimized crystal structure of MgCrTc4 (PBE-GGA, the Alexandria database).

Cell lengths 5.1308, 5.1308, 5.1308 Å; angles 60.00, 60.00, 60.00 degrees
Sites, in units of the cell vectors:
Cr 0.2500 0.2500 0.2500
Tc 0.6252 0.1243 0.6252
Tc 0.1243 0.6252 0.6252
Tc 0.6252 0.6252 0.6252
Mg 0.0000 0.0000 0.0000
Tc 0.6252 0.6252 0.1243

## Properties
Space-group type: F-43m, No. 216
Crystal system: cubic
ΔH_f (0 K), eV/atom: 0.312

No. 12
# Y6TmTl2

An optimized crystal structure of Y6TmTl2 (PBE-GGA, the Alexandria database).

Cell lengths 3.7426, 6.6574, 11.8844 Å; angles 74.68, 80.94, 73.68 degrees
Sites, in units of the cell vectors:
Y 0.3092 0.7937 0.5879
Tl 0.6399 0.9197 0.8005
Y 0.6908 0.2063 0.4121
Y 0.6827 0.5117 0.1229
Tl 0.3601 0.0803 0.1995
Y 0.9825 0.6916 0.3434
Y 0.0175 0.3084 0.6566
Tm 0.0000 0.0000 0.0000
Y 0.3173 0.4883 0.8771

## Properties
Space-group type: C2/m, No. 12
Crystal system: monoclinic
ΔH_f (0 K), eV/atom: -0.166

Which total energy belongs to each record? In order, -2.7355, -6.8498, -1.7890, -2.2394, -2.8129, -4.8990, -5.6850, -5.2810, -5.4707, -4.5013, -8.4681, -5.4976 eV per atom.